# AcGaN (PBE, relaxed)
data_AcGaN
_cell_length_a 3.9123
_cell_length_b 4.1809
_cell_length_c 7.6333
_cell_angle_alpha 90.00
_cell_angle_beta 103.96
_cell_angle_gamma 90.00
_space_group_name_H-M_alt 'P 1 21/m 1'
_space_group_IT_number 11
loop_
_space_group_symop_operation_xyz
'x,y,z'
'-x,-y,-z'
'-x,y+1/2,-z'
'x,-y+1/2,z'
loop_
_atom_site_label
_atom_site_type_symbol
_atom_site_fract_x
_atom_site_fract_y
_atom_site_fract_z
Ac1 Ac 0.1659 0.2500 0.3167
Ga1 Ga 0.4311 0.2500 0.9180
N1 N 0.3289 0.2500 0.6555
# Fermi-level density of states: 1.45 states/eV per cell
# theoretical density: 8.52 g/cm³
# polymorph energy (0 for the lowest one): 55.7 meV per atom
# uncorrected formation energy: -0.84 eV/atom


# Pd3RuPb (PBE, relaxed)
data_Pd3RuPb
_cell_length_a 4.8513
_cell_length_b 4.8513
_cell_length_c 4.8513
_cell_angle_alpha 90.00
_cell_angle_beta 90.00
_cell_angle_gamma 90.00
_space_group_name_H-M_alt 'P m -3 m'
_space_group_IT_number 221
_space_group_name_Hall '-P 4 2 3'
loop_
_atom_site_label
_atom_site_type_symbol
_atom_site_fract_x
_atom_site_fract_y
_atom_site_fract_z
Pd1 Pd 0.0000 0.0000 0.5000
Ru1 Ru 0.0000 0.0000 0.0000
Pb1 Pb 0.5000 0.5000 0.5000
# Fermi-level density of states: 7.32 states/eV per cell
# theoretical density: 9.13 g/cm³
# polymorph energy (0 for the lowest one): 0.0 meV per atom
# formation energy from the elements: 0.889 eV per atom


# KMo3Au (PBE, relaxed)
data_KMo3Au
_cell_length_a 4.4839
_cell_length_b 4.4839
_cell_length_c 4.4839
_cell_angle_alpha 90.00
_cell_angle_beta 90.00
_cell_angle_gamma 90.00
_space_group_name_H-M_alt 'P m -3 m'
_space_group_IT_number 221
_space_group_name_Hall '-P 4 2 3'
loop_
_atom_site_label
_atom_site_type_symbol
_atom_site_fract_x
_atom_site_fract_y
_atom_site_fract_z
K1 K 0.0000 0.0000 0.0000
Mo1 Mo 0.0000 0.0000 0.5000
Au1 Au 0.5000 0.5000 0.5000
# Fermi-level density of states: 4.57 states/eV per cell
# theoretical density: 9.65 g/cm³
# polymorph energy (0 for the lowest one): 656.8 meV per atom
# formation energy from the elements: 2.915 eV per atom


# NbSe2S2 (PBE, relaxed)
data_NbSe2S2
_cell_length_a 7.4964
_cell_length_b 12.4638
_cell_length_c 6.5697
_cell_angle_alpha 90.00
_cell_angle_beta 117.33
_cell_angle_gamma 90.00
_space_group_name_H-M_alt 'C 1 2/m 1'
_space_group_IT_number 12
loop_
_space_group_symop_operation_xyz
'x,y,z'
'-x,-y,-z'
'-x,y,-z'
'x,-y,z'
'x+1/2,y+1/2,z'
'-x+1/2,-y+1/2,-z'
'-x+1/2,y+1/2,-z'
'x+1/2,-y+1/2,z'
loop_
_atom_site_label
_atom_site_type_symbol
_atom_site_fract_x
_atom_site_fract_y
_atom_site_fract_z
Nb1 Nb 0.0000 0.1151 0.0000
Se1 Se 0.1872 0.2165 0.8065
S1 S 0.1291 0.0000 0.3536
S2 S 0.1956 0.5000 0.8102
# Fermi-level density of states: 1.52 states/eV per cell
# theoretical density: 3.84 g/cm³
# polymorph energy (0 for the lowest one): 0.0 meV per atom
# uncorrected formation energy: -0.45 eV/atom


# BeInSbF6 (PBE, relaxed)
data_BeInSbF6
_cell_length_a 5.7930
_cell_length_b 5.7947
_cell_length_c 5.8980
_cell_angle_alpha 90.01
_cell_angle_beta 90.01
_cell_angle_gamma 119.96
_space_group_name_H-M_alt 'P 1'
_space_group_IT_number 1
loop_
_space_group_symop_operation_xyz
'x,y,z'
loop_
_atom_site_label
_atom_site_type_symbol
_atom_site_fract_x
_atom_site_fract_y
_atom_site_fract_z
Be1 Be 0.0000 0.0000 0.0000
In1 In 0.3334 0.6667 0.3450
Sb1 Sb 0.6663 0.3331 0.8079
F1 F 0.0302 0.2694 0.0085
F2 F 0.2393 0.9698 0.0075
F3 F 0.3883 0.3252 0.6054
F4 F 0.6741 0.0622 0.6065
F5 F 0.7308 0.7609 0.0090
F6 F 0.9363 0.6104 0.6053
# Fermi-level density of states: 0.00 states/eV per cell
# theoretical density: 3.48 g/cm³
# uncorrected formation energy: -2.46 eV/atom


# K2RbTa2O7 (PBE, relaxed)
data_K2RbTa2O7
_cell_length_a 4.0507
_cell_length_b 4.0507
_cell_length_c 22.2101
_cell_angle_alpha 90.00
_cell_angle_beta 90.00
_cell_angle_gamma 90.00
_space_group_name_H-M_alt 'I 4/m m m'
_space_group_IT_number 139
_space_group_name_Hall '-I 4 2'
loop_
_atom_site_label
_atom_site_type_symbol
_atom_site_fract_x
_atom_site_fract_y
_atom_site_fract_z
K1 K 0.0000 0.0000 0.1927
Rb1 Rb 0.0000 0.0000 0.0000
Ta1 Ta 0.0000 0.0000 0.4019
O1 O 0.0000 0.0000 0.3176
O2 O 0.0000 0.0000 0.5000
O3 O 0.0000 0.5000 0.0936
# Fermi-level density of states: 10.52 states/eV per cell
# theoretical density: 5.81 g/cm³
# uncorrected formation energy: -2.34 eV/atom


# NaScPdF6 (PBE, relaxed)
data_NaScPdF6
_cell_length_a 5.6085
_cell_length_b 5.6085
_cell_length_c 9.7387
_cell_angle_alpha 90.00
_cell_angle_beta 90.00
_cell_angle_gamma 120.00
_space_group_name_H-M_alt 'P -3 1 c'
_space_group_IT_number 163
_space_group_name_Hall '-P 3 2c'
loop_
_atom_site_label
_atom_site_type_symbol
_atom_site_fract_x
_atom_site_fract_y
_atom_site_fract_z
Na1 Na 0.0000 0.0000 0.0000
Sc1 Sc 0.3333 0.6667 0.2500
Pd1 Pd 0.3333 0.6667 0.7500
F1 F 0.0227 0.3634 0.1362
# theoretical density: 3.61 g/cm³
# uncorrected formation energy: -2.73 eV/atom


# La2MnC2 (PBE, relaxed)
data_La2MnC2
_cell_length_a 11.4583
_cell_length_b 5.4491
_cell_length_c 6.8686
_cell_angle_alpha 90.00
_cell_angle_beta 122.80
_cell_angle_gamma 90.00
_space_group_name_H-M_alt 'C 1 2/m 1'
_space_group_IT_number 12
loop_
_space_group_symop_operation_xyz
'x,y,z'
'-x,-y,-z'
'-x,y,-z'
'x,-y,z'
'x+1/2,y+1/2,z'
'-x+1/2,-y+1/2,-z'
'-x+1/2,y+1/2,-z'
'x+1/2,-y+1/2,z'
loop_
_atom_site_label
_atom_site_type_symbol
_atom_site_fract_x
_atom_site_fract_y
_atom_site_fract_z
La1 La 0.0442 0.0000 0.2987
La2 La 0.1875 0.5000 0.1340
Mn1 Mn 0.1287 0.5000 0.6321
C1 C 0.0081 0.5000 0.3005
C2 C 0.1924 0.0000 0.1250
# Fermi-level density of states: 8.61 states/eV per cell
# theoretical density: 6.57 g/cm³
# formation energy from the elements: -0.144 eV per atom


# MoIrPd3 (PBE, relaxed)
data_MoIrPd3
_cell_length_a 4.6834
_cell_length_b 4.6834
_cell_length_c 4.6834
_cell_angle_alpha 90.00
_cell_angle_beta 90.00
_cell_angle_gamma 90.00
_space_group_name_H-M_alt 'P m -3 m'
_space_group_IT_number 221
_space_group_name_Hall '-P 4 2 3'
loop_
_atom_site_label
_atom_site_type_symbol
_atom_site_fract_x
_atom_site_fract_y
_atom_site_fract_z
Mo1 Mo 0.0000 0.0000 0.0000
Ir1 Ir 0.5000 0.5000 0.5000
Pd1 Pd 0.0000 0.0000 0.5000
# Fermi-level density of states: 8.75 states/eV per cell
# theoretical density: 9.82 g/cm³
# polymorph energy (0 for the lowest one): 0.0 meV per atom
# formation energy from the elements: 1.652 eV per atom


# Ta3Cr (PBE, relaxed)
data_Ta3Cr
_cell_length_a 3.8050
_cell_length_b 3.8050
_cell_length_c 18.7666
_cell_angle_alpha 90.00
_cell_angle_beta 90.00
_cell_angle_gamma 90.00
_space_group_name_H-M_alt 'I 4/m m m'
_space_group_IT_number 139
_space_group_name_Hall '-I 4 2'
loop_
_atom_site_label
_atom_site_type_symbol
_atom_site_fract_x
_atom_site_fract_y
_atom_site_fract_z
Ta1 Ta 0.0000 0.0000 0.1248
Ta2 Ta 0.0000 0.5000 0.0000
Ta3 Ta 0.0000 0.5000 0.2500
Cr1 Cr 0.0000 0.0000 0.3748
# Fermi-level density of states: 17.86 states/eV per cell
# theoretical density: 14.54 g/cm³
# formation energy from the elements: 0.259 eV per atom


# TlCdBi2 (PBE, relaxed)
data_TlCdBi2
_cell_length_a 3.4088
_cell_length_b 3.4534
_cell_length_c 21.2759
_cell_angle_alpha 90.00
_cell_angle_beta 90.00
_cell_angle_gamma 90.00
_space_group_name_H-M_alt 'I m m 2'
_space_group_IT_number 44
loop_
_space_group_symop_operation_xyz
'x,y,z'
'-x,-y,z'
'-x,y,z'
'x,-y,z'
'x+1/2,y+1/2,z+1/2'
'-x+1/2,-y+1/2,z+1/2'
'-x+1/2,y+1/2,z+1/2'
'x+1/2,-y+1/2,z+1/2'
loop_
_atom_site_label
_atom_site_type_symbol
_atom_site_fract_x
_atom_site_fract_y
_atom_site_fract_z
Tl1 Tl 0.0000 0.0000 0.0000
Cd1 Cd 0.0000 0.5000 0.2532
Bi1 Bi 0.0000 0.0000 0.3763
Bi2 Bi 0.0000 0.5000 0.6474
# Fermi-level density of states: 4.48 states/eV per cell
# theoretical density: 9.74 g/cm³
# polymorph energy (0 for the lowest one): 13.2 meV per atom
# formation energy from the elements: 0.055 eV per atom


# HfAsSeN2 (PBE, relaxed)
data_HfAsSeN2
_cell_length_a 3.9054
_cell_length_b 3.9054
_cell_length_c 4.8264
_cell_angle_alpha 90.00
_cell_angle_beta 90.00
_cell_angle_gamma 90.00
_space_group_name_H-M_alt 'P 4/m m m'
_space_group_IT_number 123
_space_group_name_Hall '-P 4 2'
loop_
_atom_site_label
_atom_site_type_symbol
_atom_site_fract_x
_atom_site_fract_y
_atom_site_fract_z
Hf1 Hf 0.0000 0.0000 0.0000
As1 As 0.5000 0.5000 0.5000
Se1 Se 0.5000 0.5000 0.0000
N1 N 0.0000 0.5000 0.5000
# Fermi-level density of states: 3.32 states/eV per cell
# theoretical density: 8.13 g/cm³
# polymorph energy (0 for the lowest one): 392.7 meV per atom
# uncorrected formation energy: 0.84 eV/atom


# Ba2RuClO4 (PBE, relaxed)
data_Ba2RuClO4
_cell_length_a 9.9220
_cell_length_b 3.4996
_cell_length_c 9.9769
_cell_angle_alpha 90.00
_cell_angle_beta 112.14
_cell_angle_gamma 90.00
_space_group_name_H-M_alt 'C 1 2/m 1'
_space_group_IT_number 12
loop_
_space_group_symop_operation_xyz
'x,y,z'
'-x,-y,-z'
'-x,y,-z'
'x,-y,z'
'x+1/2,y+1/2,z'
'-x+1/2,-y+1/2,-z'
'-x+1/2,y+1/2,-z'
'x+1/2,-y+1/2,z'
loop_
_atom_site_label
_atom_site_type_symbol
_atom_site_fract_x
_atom_site_fract_y
_atom_site_fract_z
Ba1 Ba 0.1657 0.0000 0.2741
Ru1 Ru 0.0000 0.0000 0.5000
Cl1 Cl 0.0000 0.5000 0.0000
O1 O 0.1060 0.5000 0.4619
O2 O 0.1238 0.0000 0.6937
# Fermi-level density of states: 8.78 states/eV per cell
# theoretical density: 4.92 g/cm³
# uncorrected formation energy: -1.82 eV/atom


# PaFeBi (PBE, relaxed)
data_PaFeBi
_cell_length_a 8.1635
_cell_length_b 4.8673
_cell_length_c 7.0444
_cell_angle_alpha 90.00
_cell_angle_beta 90.00
_cell_angle_gamma 90.00
_space_group_name_H-M_alt 'P n m a'
_space_group_IT_number 62
loop_
_space_group_symop_operation_xyz
'x,y,z'
'-x,-y,-z'
'-x+1/2,-y,z+1/2'
'x+1/2,y,-z+1/2'
'x+1/2,-y+1/2,-z+1/2'
'-x+1/2,y+1/2,z+1/2'
'-x,y+1/2,-z'
'x,-y+1/2,z'
loop_
_atom_site_label
_atom_site_type_symbol
_atom_site_fract_x
_atom_site_fract_y
_atom_site_fract_z
Pa1 Pa 0.9998 0.2500 0.1895
Fe1 Fe 0.1946 0.2500 0.9984
Bi1 Bi 0.1850 0.2500 0.6082
# theoretical density: 11.77 g/cm³
# formation energy from the elements: -0.256 eV per atom


# LiTiGa2 (PBE, relaxed)
data_LiTiGa2
_cell_length_a 2.8948
_cell_length_b 2.8948
_cell_length_c 27.2424
_cell_angle_alpha 90.00
_cell_angle_beta 90.00
_cell_angle_gamma 120.00
_space_group_name_H-M_alt 'R -3 m'
_space_group_IT_number 166
_space_group_name_Hall '-R 3 2"'
loop_
_atom_site_label
_atom_site_type_symbol
_atom_site_fract_x
_atom_site_fract_y
_atom_site_fract_z
Li1 Li 0.0000 0.0000 0.0000
Ti1 Ti 0.0000 0.0000 0.5000
Ga1 Ga 0.0000 0.0000 0.2500
# Fermi-level density of states: 7.95 states/eV per cell
# theoretical density: 4.89 g/cm³
# polymorph energy (0 for the lowest one): 188.6 meV per atom
# formation energy from the elements: -0.207 eV per atom


# La5Dy2Er5 (PBE, relaxed)
data_La5Dy2Er5
_cell_length_a 15.4204
_cell_length_b 5.0976
_cell_length_c 11.4127
_cell_angle_alpha 90.00
_cell_angle_beta 116.77
_cell_angle_gamma 90.00
_space_group_name_H-M_alt 'C 1 2/m 1'
_space_group_IT_number 12
loop_
_space_group_symop_operation_xyz
'x,y,z'
'-x,-y,-z'
'-x,y,-z'
'x,-y,z'
'x+1/2,y+1/2,z'
'-x+1/2,-y+1/2,-z'
'-x+1/2,y+1/2,-z'
'x+1/2,-y+1/2,z'
loop_
_atom_site_label
_atom_site_type_symbol
_atom_site_fract_x
_atom_site_fract_y
_atom_site_fract_z
La1 La 0.0000 0.0000 0.0000
La2 La 0.0806 0.0000 0.7483
La3 La 0.2485 0.0000 0.2519
Dy1 Dy 0.1667 0.0000 0.4990
Er1 Er 0.0000 0.5000 0.5000
Er2 Er 0.0851 0.5000 0.2541
Er3 Er 0.1673 0.5000 0.0000
# Fermi-level density of states: 37.64 states/eV per cell
# theoretical density: 7.69 g/cm³
# formation energy from the elements: 0.031 eV per atom


# LiMgAg4 (PBE, relaxed)
data_LiMgAg4
_cell_length_a 2.9219
_cell_length_b 16.6436
_cell_length_c 8.7218
_cell_angle_alpha 90.00
_cell_angle_beta 90.00
_cell_angle_gamma 90.00
_space_group_name_H-M_alt 'C m c m'
_space_group_IT_number 63
_space_group_name_Hall '-C 2c 2'
loop_
_atom_site_label
_atom_site_type_symbol
_atom_site_fract_x
_atom_site_fract_y
_atom_site_fract_z
Li1 Li 0.0000 0.0734 0.2500
Mg1 Mg 0.0000 0.2508 0.2500
Ag1 Ag 0.0000 0.0929 0.7500
Ag2 Ag 0.0000 0.3322 0.5233
Ag3 Ag 0.0000 0.5000 0.0000
# Fermi-level density of states: 10.90 states/eV per cell
# theoretical density: 7.25 g/cm³
# polymorph energy (0 for the lowest one): 52.8 meV per atom
# formation energy from the elements: -0.099 eV per atom


# Os4Ru3 (PBE, relaxed)
data_Os4Ru3
_cell_length_a 3.2653
_cell_length_b 3.2653
_cell_length_c 19.2371
_cell_angle_alpha 90.00
_cell_angle_beta 90.00
_cell_angle_gamma 90.00
_space_group_name_H-M_alt 'I 4/m m m'
_space_group_IT_number 139
_space_group_name_Hall '-I 4 2'
loop_
_atom_site_label
_atom_site_type_symbol
_atom_site_fract_x
_atom_site_fract_y
_atom_site_fract_z
Os1 Os 0.0000 0.0000 0.0711
Os2 Os 0.0000 0.0000 0.3576
Ru1 Ru 0.0000 0.0000 0.2156
Ru2 Ru 0.0000 0.0000 0.5000
# Fermi-level density of states: 21.44 states/eV per cell
# theoretical density: 17.23 g/cm³
# polymorph energy (0 for the lowest one): 517.4 meV per atom
# formation energy from the elements: 0.636 eV per atom


# TbPmNdDy (PBE, relaxed)
data_TbPmNdDy
_cell_length_a 5.1080
_cell_length_b 5.1080
_cell_length_c 10.1947
_cell_angle_alpha 90.00
_cell_angle_beta 90.00
_cell_angle_gamma 90.00
_space_group_name_H-M_alt 'I -4 m 2'
_space_group_IT_number 119
_space_group_name_Hall 'I -4 -2'
loop_
_atom_site_label
_atom_site_type_symbol
_atom_site_fract_x
_atom_site_fract_y
_atom_site_fract_z
Tb1 Tb 0.0000 0.0000 0.0000
Pm1 Pm 0.0000 0.5000 0.7500
Nd1 Nd 0.0000 0.0000 0.5000
Dy1 Dy 0.0000 0.5000 0.2500
# Fermi-level density of states: 11.27 states/eV per cell
# theoretical density: 7.62 g/cm³
# polymorph energy (0 for the lowest one): 0.0 meV per atom
# formation energy from the elements: 0.016 eV per atom


# NaSr2CuRh (PBE, relaxed)
data_NaSr2CuRh
_cell_length_a 5.7309
_cell_length_b 5.7309
_cell_length_c 4.9483
_cell_angle_alpha 90.00
_cell_angle_beta 90.00
_cell_angle_gamma 90.00
_space_group_name_H-M_alt 'P 4/m m m'
_space_group_IT_number 123
_space_group_name_Hall '-P 4 2'
loop_
_atom_site_label
_atom_site_type_symbol
_atom_site_fract_x
_atom_site_fract_y
_atom_site_fract_z
Na1 Na 0.0000 0.0000 0.0000
Sr1 Sr 0.0000 0.5000 0.5000
Cu1 Cu 0.5000 0.5000 0.0000
Rh1 Rh 0.5000 0.5000 0.5000
# Fermi-level density of states: 2.76 states/eV per cell
# theoretical density: 3.73 g/cm³
# formation energy from the elements: 0.062 eV per atom